4
Lattice="-2.7234 1.8733 -0.7552 0.2518 -3.3808 0.0584 -2.8713 -0.0366 10.2645" Properties=species:S:1:pos:R:3 comment="PBE BeCuCl2, relaxed" e_form_raw_ev_per_atom=-0.25 polymorph_energy_mev_per_atom=210 dos_ef_per_ev_cell=0.440 pbc="T T T"
Be -3.3893 -0.7812 7.3500
Cu -1.9536 -0.7629 2.2177
Cl -2.5460 -0.0324 9.1014
Cl -1.7610 -0.0224 6.2953